(a)
Density functional theory data (PBE) for an optimized crystal structure of ThMg3Cd2.

Cell lengths 4.8422, 8.8192, 7.7828 Å; angles 112.20, 90.00, 105.93 degrees
Element x y z (fractional)
Th (0.1195, 0.2391, 0.1885)
Th (0.8805, 0.7609, 0.8115)
Mg (0.6989, 0.3978, 0.9301)
Mg (0.0687, 0.1374, 0.7066)
Mg (0.3741, 0.7482, 0.4917)
Mg (0.6259, 0.2518, 0.5083)
Mg (0.9313, 0.8626, 0.2934)
Mg (0.3011, 0.6022, 0.0699)
Cd (0.5204, 0.0407, 0.8395)
Cd (0.4796, 0.9593, 0.1605)
Cd (0.2333, 0.4667, 0.6622)
Cd (0.7667, 0.5333, 0.3378)

***

(b)
Density functional theory data (PBE) for an optimized crystal structure of ThMg3Cd2.

Cell lengths 4.9598, 4.9598, 13.7809 Å; angles 90.00, 90.00, 120.00 degrees
Element x y z (fractional)
Th (0.0000, 0.0000, 0.2500)
Th (0.0000, 0.0000, 0.7500)
Mg (0.0000, 0.0000, 0.5000)
Mg (0.0000, 0.0000, 0.0000)
Mg (0.6667, 0.3333, 0.6084)
Mg (0.3333, 0.6667, 0.1084)
Mg (0.6667, 0.3333, 0.8916)
Mg (0.3333, 0.6667, 0.3916)
Cd (0.6667, 0.3333, 0.3723)
Cd (0.3333, 0.6667, 0.6277)
Cd (0.3333, 0.6667, 0.8723)
Cd (0.6667, 0.3333, 0.1277)

***

Computed relative energies in units of kJ/mol of atoms: (a) 2.3; (b) 0.0

***

(a)
Density functional theory data (PBE) for an optimized crystal structure of ThMg4Cd.

Cell lengths 4.6687, 7.8963, 8.0706 Å; angles 90.00, 90.00, 90.00 degrees
Element x y z (fractional)
Th (0.0000, 0.6330, 0.7500)
Th (0.0000, 0.3670, 0.2500)
Mg (0.0000, 0.0000, 0.5000)
Mg (0.0000, 0.0000, 0.0000)
Mg (0.5000, 0.9476, 0.7500)
Mg (0.5000, 0.0524, 0.2500)
Mg (0.5000, 0.6828, 0.0530)
Mg (0.5000, 0.3172, 0.9470)
Mg (0.5000, 0.6828, 0.4470)
Mg (0.5000, 0.3172, 0.5530)
Cd (0.0000, 0.2352, 0.7500)
Cd (0.0000, 0.7648, 0.2500)

***

(b)
Density functional theory data (PBE) for an optimized crystal structure of ThMg4Cd.

Cell lengths 5.9658, 5.9658, 5.9658 Å; angles 60.00, 60.00, 60.00 degrees
Element x y z (fractional)
Mg (0.6247, 0.6247, 0.1260)
Mg (0.6247, 0.1260, 0.6247)
Mg (0.6247, 0.6247, 0.6247)
Mg (0.1260, 0.6247, 0.6247)
Th (0.2500, 0.2500, 0.2500)
Cd (0.0000, 0.0000, 0.0000)

***

Computed relative energies in units of kJ/mol of atoms: (a) 0.0; (b) 10.9

***

(a)
Density functional theory data (PBE) for an optimized crystal structure of ThMgTlCd.

Cell lengths 4.5643, 4.7735, 4.8744 Å; angles 90.00, 90.00, 90.00 degrees
Element x y z (fractional)
Th (0.5000, 0.0000, 0.5000)
Mg (0.5000, 0.5000, 0.0000)
Tl (0.0000, 0.5000, 0.5000)
Cd (0.0000, 0.0000, 0.0000)

***

(b)
Density functional theory data (PBE) for an optimized crystal structure of ThMgTlCd.

Cell lengths 5.2937, 5.2937, 5.2937 Å; angles 60.00, 60.00, 60.00 degrees
Element x y z (fractional)
Tl (0.7500, 0.7500, 0.7500)
Mg (0.0000, 0.0000, 0.0000)
Th (0.5000, 0.5000, 0.5000)
Cd (0.2500, 0.2500, 0.2500)

***

Computed relative energies in units of kJ/mol of atoms: (a) 0.0; (b) 3.9

***

(a)
Density functional theory data (PBE) for an optimized crystal structure of Mg2TiCd2.

Cell lengths 8.0624, 8.0624, 3.2436 Å; angles 90.00, 90.00, 90.00 degrees
Site moments in Bohr magnetons follow the coordinates.
Element x y z (fractional)
Mg (0.1724, 0.6724, 0.5000)  0.00
Mg (0.6724, 0.8276, 0.5000)  0.00
Mg (0.8276, 0.3276, 0.5000)  0.00
Mg (0.3276, 0.1724, 0.5000)  0.00
Ti (0.0000, 0.0000, 0.0000)  1.32
Ti (0.5000, 0.5000, 0.0000)  1.32
Cd (0.3699, 0.8699, 0.0000)  0.00
Cd (0.8699, 0.6301, 0.0000)  0.00
Cd (0.6301, 0.1301, 0.0000)  0.00
Cd (0.1301, 0.3699, 0.0000)  0.00

***

(b)
Density functional theory data (PBE) for an optimized crystal structure of Mg2TiCd2.

Cell lengths 4.9928, 4.9928, 5.0246 Å; angles 90.00, 90.00, 90.00 degrees
Element x y z (fractional)
Mg (0.0000, 0.0000, 0.0000)
Mg (0.0000, 0.0000, 0.5000)
Ti (0.5000, 0.5000, 0.5000)
Cd (0.0000, 0.5000, 0.0000)
Cd (0.5000, 0.0000, 0.0000)

***

(c)
Density functional theory data (PBE) for an optimized crystal structure of Mg2TiCd2.

Cell lengths 8.1615, 8.1615, 3.0993 Å; angles 90.00, 90.00, 90.00 degrees
Site moments in Bohr magnetons follow the coordinates.
Element x y z (fractional)
Mg (0.3715, 0.8715, 0.0000)  0.00
Mg (0.8715, 0.6285, 0.0000)  0.00
Mg (0.6285, 0.1285, 0.0000)  0.00
Mg (0.1285, 0.3715, 0.0000)  0.00
Ti (0.0000, 0.0000, 0.0000)  1.23
Ti (0.5000, 0.5000, 0.0000)  1.23
Cd (0.1723, 0.6723, 0.5000)  -0.01
Cd (0.6723, 0.8277, 0.5000)  -0.01
Cd (0.8277, 0.3277, 0.5000)  -0.01
Cd (0.3277, 0.1723, 0.5000)  -0.01

***

Computed relative energies in units of kJ/mol of atoms: (a) 0.0; (b) 71.1; (c) 1.2

***

(a)
Density functional theory data (PBE) for an optimized crystal structure of Mg3TiCd.

Cell lengths 5.0692, 5.0692, 5.0692 Å; angles 90.00, 90.00, 90.00 degrees
Element x y z (fractional)
Mg (0.0000, 0.5000, 0.0000)
Mg (0.0000, 0.0000, 0.5000)
Mg (0.5000, 0.0000, 0.0000)
Ti (0.5000, 0.5000, 0.5000)
Cd (0.0000, 0.0000, 0.0000)

***

(b)
Density functional theory data (PBE) for an optimized crystal structure of Mg3TiCd.

Cell lengths 5.4272, 5.4272, 5.4272 Å; angles 90.00, 90.00, 90.00 degrees
Site moments in Bohr magnetons follow the coordinates.
Element x y z (fractional)
Mg (0.0000, 0.5000, 0.0000)  0.04
Mg (0.0000, 0.0000, 0.5000)  0.01
Mg (0.5000, 0.0000, 0.0000)  0.05
Ti (0.0000, 0.0000, 0.0000)  1.92
Cd (0.5000, 0.5000, 0.5000)  -0.02

***

Computed relative energies in units of kJ/mol of atoms: (a) 0.0; (b) 16.4

***

(a)
Density functional theory data (PBE) for an optimized crystal structure of Mg8Tl2Cd.

Cell lengths 4.5297, 7.2239, 8.4609 Å; angles 106.51, 105.53, 90.00 degrees
Element x y z (fractional)
Mg (0.4097, 0.5495, 0.8195)
Mg (0.6772, 0.9143, 0.3544)
Mg (0.8614, 0.8151, 0.7228)
Mg (0.9589, 0.2683, 0.9179)
Mg (0.1386, 0.1849, 0.2772)
Mg (0.3228, 0.0857, 0.6456)
Mg (0.5903, 0.4505, 0.1805)
Mg (0.0411, 0.7317, 0.0821)
Tl (0.7806, 0.3503, 0.5613)
Tl (0.2194, 0.6497, 0.4387)
Cd (0.5000, 0.0000, 0.0000)

***

(b)
Density functional theory data (PBE) for an optimized crystal structure of Mg8Tl2Cd.

Cell lengths 4.9020, 7.3727, 8.4018 Å; angles 116.06, 106.96, 90.00 degrees
Element x y z (fractional)
Mg (0.6505, 0.4214, 0.3011)
Mg (0.3500, 0.1215, 0.7001)
Mg (0.1625, 0.1623, 0.3250)
Mg (0.9998, 0.7247, 0.9995)
Mg (0.8375, 0.8377, 0.6750)
Mg (0.6500, 0.8785, 0.2999)
Mg (0.3495, 0.5786, 0.6989)
Mg (0.0002, 0.2753, 0.0005)
Tl (0.1824, 0.6829, 0.3648)
Tl (0.8176, 0.3171, 0.6352)
Cd (0.5000, 0.0000, 0.0000)

***

Computed relative energies in units of kJ/mol of atoms: (a) 0.0; (b) 1.6